{"formula": "FeOsBr2", "functional": "GGA-PBEsol", "state": "optimized geometry", "lattice": [[3.0591, 0.0000, 0.0000], [1.5296, 2.6493, 0.0000], [1.5296, 0.8831, 7.8713]], "species": ["Br", "Br", "Fe", "Os"], "frac_coords": [[0.2429, 0.2429, 0.2714], [0.7571, 0.7571, 0.7286], [0.5000, 0.5000, 0.5000], [0.0000, 0.0000, 0.0000]], "energy_ev_per_atom": -5.24, "de_polymorph_mev_per_atom": 315, "m_tot_mub_per_atom": 0.410}